<one>
Mg2ZnHg | PBE | relaxed

Values from the calculation:
V: 19.76 Å³/atom
Spin magnetization: 0.00 μB/f.u.

CIF file:
```
data_Mg2ZnHg
_chemical_formula_sum 'Mg2 Zn1 Hg1'
_cell_length_a 3.2945
_cell_length_b 3.5794
_cell_length_c 6.7019
_cell_angle_alpha 90.00
_cell_angle_beta 90.72
_cell_angle_gamma 90.00
_symmetry_space_group_name_H-M 'P 1 2/m 1'
_symmetry_Int_Tables_number 10
loop_
_symmetry_equiv_pos_as_xyz
'x,y,z'
'-x,-y,-z'
'-x,y,-z'
'x,-y,z'
loop_
_atom_site_label
_atom_site_fract_x
_atom_site_fract_y
_atom_site_fract_z
Mg1 0.0002 0.0000 0.2386
Zn1 0.5000 0.5000 0.0000
Hg1 0.5000 0.5000 0.5000
```

***

<two>
Mg2ZnHg | PBE | relaxed

Values from the calculation:
V: 19.63 Å³/atom
Spin magnetization: 0.00 μB/f.u.

CIF file:
```
data_Mg2ZnHg
_chemical_formula_sum 'Mg4 Zn2 Hg2'
_cell_length_a 4.8946
_cell_length_b 6.3688
_cell_length_c 5.0368
_cell_angle_alpha 90.00
_cell_angle_beta 90.00
_cell_angle_gamma 90.00
_symmetry_space_group_name_H-M 'P m m n'
_symmetry_Int_Tables_number 59
loop_
_symmetry_equiv_pos_as_xyz
'x,y,z'
'-x,-y,-z'
'-x+1/2,-y+1/2,z'
'x+1/2,y+1/2,-z'
'x+1/2,-y,-z'
'-x+1/2,y,z'
'-x,y+1/2,-z'
'x,-y+1/2,z'
loop_
_atom_site_label
_atom_site_fract_x
_atom_site_fract_y
_atom_site_fract_z
Mg1 0.2500 0.0007 0.2013
Zn1 0.2500 0.2500 0.7002
Hg1 0.2500 0.7500 0.6915
```

***

<three>
Mg2ZnHg | PBE | relaxed

Values from the calculation:
V: 20.14 Å³/atom
Spin magnetization: 0.00 μB/f.u.

CIF file:
```
data_Mg2ZnHg
_chemical_formula_sum 'Mg4 Zn2 Hg2'
_cell_length_a 3.8249
_cell_length_b 4.5081
_cell_length_c 9.3437
_cell_angle_alpha 90.00
_cell_angle_beta 90.00
_cell_angle_gamma 90.00
_symmetry_space_group_name_H-M 'I m m 2'
_symmetry_Int_Tables_number 44
loop_
_symmetry_equiv_pos_as_xyz
'x,y,z'
'-x,-y,z'
'-x,y,z'
'x,-y,z'
'x+1/2,y+1/2,z+1/2'
'-x+1/2,-y+1/2,z+1/2'
'-x+1/2,y+1/2,z+1/2'
'x+1/2,-y+1/2,z+1/2'
loop_
_atom_site_label
_atom_site_fract_x
_atom_site_fract_y
_atom_site_fract_z
Mg1 0.0000 0.0000 0.0000
Mg2 0.0000 0.5000 0.2352
Zn1 0.0000 0.0000 0.4898
Hg1 0.0000 0.5000 0.7551
```

***

<four>
Mg2ZnHg | PBE | relaxed

Values from the calculation:
V: 20.37 Å³/atom
Spin magnetization: 0.00 μB/f.u.

CIF file:
```
data_Mg2ZnHg
_chemical_formula_sum 'Mg4 Zn2 Hg2'
_cell_length_a 4.4824
_cell_length_b 5.4840
_cell_length_c 7.5062
_cell_angle_alpha 104.03
_cell_angle_beta 90.07
_cell_angle_gamma 113.63
_symmetry_space_group_name_H-M 'P -1'
_symmetry_Int_Tables_number 2
loop_
_symmetry_equiv_pos_as_xyz
'x,y,z'
'-x,-y,-z'
loop_
_atom_site_label
_atom_site_fract_x
_atom_site_fract_y
_atom_site_fract_z
Mg1 0.0000 0.0000 0.0000
Mg2 0.0000 0.0000 0.5000
Mg3 0.2632 0.5263 0.3309
Zn1 0.2955 0.5914 0.9659
Hg1 0.4473 0.8973 0.7144
```

***

In kJ/mol of atoms, relative to the most stable structure: <one> 0.0; <two> 0.5; <three> 5.5; <four> 1.8.

***

<one>
Mg2Zn2Hg | PBE | relaxed

Values from the calculation:
V: 21.16 Å³/atom
Spin magnetization: 0.00 μB/f.u.

CIF file:
```
data_Mg2Zn2Hg
_chemical_formula_sum 'Mg2 Zn2 Hg1'
_cell_length_a 5.0133
_cell_length_b 5.0204
_cell_length_c 5.3217
_cell_angle_alpha 103.87
_cell_angle_beta 103.84
_cell_angle_gamma 117.22
_symmetry_space_group_name_H-M 'P 1'
_symmetry_Int_Tables_number 1
loop_
_symmetry_equiv_pos_as_xyz
'x,y,z'
loop_
_atom_site_label
_atom_site_fract_x
_atom_site_fract_y
_atom_site_fract_z
Mg1 0.0000 0.0000 0.0000
Mg2 0.2262 0.7726 0.4989
Zn1 0.3650 0.6352 0.0002
Zn2 0.8902 0.1098 0.5002
Hg1 0.5687 0.4314 0.5006
```

***

<two>
Mg2Zn2Hg | PBE | relaxed

Values from the calculation:
V: 19.55 Å³/atom
Spin magnetization: 0.00 μB/f.u.

CIF file:
```
data_Mg2Zn2Hg
_chemical_formula_sum 'Mg8 Zn8 Hg4'
_cell_length_a 10.0590
_cell_length_b 4.5045
_cell_length_c 9.1668
_cell_angle_alpha 90.00
_cell_angle_beta 109.75
_cell_angle_gamma 90.00
_symmetry_space_group_name_H-M 'C 1 2/m 1'
_symmetry_Int_Tables_number 12
loop_
_symmetry_equiv_pos_as_xyz
'x,y,z'
'-x,-y,-z'
'-x,y,-z'
'x,-y,z'
'x+1/2,y+1/2,z'
'-x+1/2,-y+1/2,-z'
'-x+1/2,y+1/2,-z'
'x+1/2,-y+1/2,z'
loop_
_atom_site_label
_atom_site_fract_x
_atom_site_fract_y
_atom_site_fract_z
Mg1 0.0519 0.0000 0.3531
Mg2 0.1660 0.0000 0.0668
Zn1 0.0398 0.5000 0.8780
Zn2 0.1130 0.5000 0.6156
Hg1 0.2326 0.5000 0.3176
```

***

<three>
Mg2Zn2Hg | PBE | relaxed

Values from the calculation:
V: 21.65 Å³/atom
Spin magnetization: 0.00 μB/f.u.

CIF file:
```
data_Mg2Zn2Hg
_chemical_formula_sum 'Mg4 Zn4 Hg2'
_cell_length_a 4.1969
_cell_length_b 4.1969
_cell_length_c 12.2920
_cell_angle_alpha 90.00
_cell_angle_beta 90.00
_cell_angle_gamma 90.00
_symmetry_space_group_name_H-M 'I 4/m m m'
_symmetry_Int_Tables_number 139
_symmetry_space_group_name_Hall '-I 4 2'
loop_
_atom_site_label
_atom_site_fract_x
_atom_site_fract_y
_atom_site_fract_z
Mg1 0.0000 0.5000 0.2500
Zn1 0.0000 0.0000 0.0987
Hg1 0.0000 0.0000 0.5000
```

***

In kJ/mol of atoms, relative to the most stable structure: <one> 8.7; <two> 0.0; <three> 19.2.

***

<one>
Mg2Zn2Hg | PBE | relaxed

Values from the calculation:
V: 20.57 Å³/atom
Spin magnetization: 0.00 μB/f.u.

CIF file:
```
data_Mg2Zn2Hg
_chemical_formula_sum 'Mg4 Zn4 Hg2'
_cell_length_a 8.0594
_cell_length_b 8.0594
_cell_length_c 3.1667
_cell_angle_alpha 90.00
_cell_angle_beta 90.00
_cell_angle_gamma 90.00
_symmetry_space_group_name_H-M 'P 4/m b m'
_symmetry_Int_Tables_number 127
_symmetry_space_group_name_Hall '-P 4 2ab'
loop_
_atom_site_label
_atom_site_fract_x
_atom_site_fract_y
_atom_site_fract_z
Mg1 0.1813 0.3187 0.0000
Zn1 0.1142 0.6142 0.5000
Hg1 0.0000 0.0000 0.0000
```

***

<two>
Mg2Zn2Hg | PBE | relaxed

Values from the calculation:
V: 19.46 Å³/atom
Spin magnetization: 0.00 μB/f.u.

CIF file:
```
data_Mg2Zn2Hg
_chemical_formula_sum 'Mg4 Zn4 Hg2'
_cell_length_a 7.0389
_cell_length_b 7.0389
_cell_length_c 3.9269
_cell_angle_alpha 90.00
_cell_angle_beta 90.00
_cell_angle_gamma 90.00
_symmetry_space_group_name_H-M 'P 4/m b m'
_symmetry_Int_Tables_number 127
_symmetry_space_group_name_Hall '-P 4 2ab'
loop_
_atom_site_label
_atom_site_fract_x
_atom_site_fract_y
_atom_site_fract_z
Mg1 0.1683 0.3317 0.0000
Zn1 0.1274 0.6274 0.5000
Hg1 0.0000 0.0000 0.5000
```

***

<three>
Mg2Zn2Hg | PBE | relaxed

Values from the calculation:
V: 20.54 Å³/atom
Spin magnetization: 0.00 μB/f.u.

CIF file:
```
data_Mg2Zn2Hg
_chemical_formula_sum 'Mg4 Zn4 Hg2'
_cell_length_a 3.5963
_cell_length_b 3.5963
_cell_length_c 15.8835
_cell_angle_alpha 90.00
_cell_angle_beta 90.00
_cell_angle_gamma 90.00
_symmetry_space_group_name_H-M 'I 4/m m m'
_symmetry_Int_Tables_number 139
_symmetry_space_group_name_Hall '-I 4 2'
loop_
_atom_site_label
_atom_site_fract_x
_atom_site_fract_y
_atom_site_fract_z
Mg1 0.0000 0.0000 0.1033
Zn1 0.0000 0.5000 0.2500
Hg1 0.0000 0.0000 0.5000
```

***

In kJ/mol of atoms, relative to the most stable structure: <one> 7.9; <two> 0.0; <three> 3.9.

***

<one>
Mg6ZnHg2 | PBE | relaxed

Values from the calculation:
V: 20.93 Å³/atom
Spin magnetization: 0.00 μB/f.u.

CIF file:
```
data_Mg6ZnHg2
_chemical_formula_sum 'Mg6 Zn1 Hg2'
_cell_length_a 4.9396
_cell_length_b 4.9396
_cell_length_c 8.9135
_cell_angle_alpha 90.00
_cell_angle_beta 90.00
_cell_angle_gamma 120.00
_symmetry_space_group_name_H-M 'P -3 m 1'
_symmetry_Int_Tables_number 164
_symmetry_space_group_name_Hall '-P 3 2"'
loop_
_atom_site_label
_atom_site_fract_x
_atom_site_fract_y
_atom_site_fract_z
Mg1 0.0000 0.0000 0.1831
Mg2 0.3333 0.6667 0.0560
Mg3 0.3333 0.6667 0.4020
Zn1 0.0000 0.0000 0.5000
Hg1 0.3333 0.6667 0.7328
```

***

<two>
Mg6ZnHg2 | PBE | relaxed

Values from the calculation:
V: 21.26 Å³/atom
Spin magnetization: 0.00 μB/f.u.

CIF file:
```
data_Mg6ZnHg2
_chemical_formula_sum 'Mg6 Zn1 Hg2'
_cell_length_a 7.8328
_cell_length_b 7.8328
_cell_length_c 3.6017
_cell_angle_alpha 90.00
_cell_angle_beta 90.00
_cell_angle_gamma 120.00
_symmetry_space_group_name_H-M 'P -6 2 m'
_symmetry_Int_Tables_number 189
_symmetry_space_group_name_Hall 'P -6 -2'
loop_
_atom_site_label
_atom_site_fract_x
_atom_site_fract_y
_atom_site_fract_z
Mg1 0.0000 0.3843 0.0000
Mg2 0.0000 0.7368 0.5000
Zn1 0.0000 0.0000 0.0000
Hg1 0.3333 0.6667 0.5000
```

***

In kJ/mol of atoms, relative to the most stable structure: <one> 5.6; <two> 0.0.